The following is a PBE-GGA calculation of a relaxed NiH3Au crystal, from Alexandria via LeMat-Bulk.

## Properties
ΔE to the lowest computed polymorph	1.35	eV per formula unit
energy	-3.212	eV/atom
SG	Pm-3m (221)

```
NiH3Au
1.0
-1.854 1.131 2.829
-2.887 -1.710 -1.209
0.973 -2.919 1.804
H Ni Au
3 1 1
Direct
0.000 0.000 0.500 H
0.500 0.000 0.000 H
0.000 0.500 0.000 H
0.500 0.500 0.500 Ni
0.000 0.000 0.000 Au
```

=====

The following is a PBE-GGA calculation of a relaxed Ca2Al2Rh crystal, from Alexandria via LeMat-Bulk.

## Properties
ΔE to the lowest computed polymorph	3.84	eV per formula unit
energy of formation from the pure elements	0.4291	eV per atom
energy	-3.339	eV/atom
SG	I4/mmm (139)

```
Ca2Al2Rh
1.0
4.821 -3.128 4.925
0.274 -1.239 7.461
-3.771 -0.274 -6.556
Ca Al Rh
2 2 1
Direct
0.250 0.750 0.500 Ca
0.750 0.250 0.500 Ca
0.586 0.586 0.000 Al
0.414 0.414 0.000 Al
0.000 0.000 0.000 Rh
```

=====

The following is a PBE-GGA calculation of a relaxed TcRu2Rh crystal, from Alexandria via LeMat-Bulk.

## Properties
ΔE to the lowest computed polymorph	0.36	eV per formula unit
energy of formation from the pure elements	0.0139	eV per atom
energy	-9.053	eV/atom
SG	P4/mmm (123)

```
TcRu2Rh
1.0
3.818 0.000 0.000
0.000 3.844 0.000
0.000 0.000 3.844
Tc Rh Ru
1 1 2
Direct
0.500 0.500 0.500 Tc
0.500 0.000 0.000 Rh
0.000 0.500 0.000 Ru
0.000 0.000 0.500 Ru
```

=====

The following is a PBE-GGA calculation of a relaxed ZrTa3 crystal, from Alexandria via LeMat-Bulk.

## Properties
ΔE to the lowest computed polymorph	0.84	eV per formula unit
energy of formation from the pure elements	0.2930	eV per atom
energy	-10.733	eV/atom
SG	P6_3/mmc (194)

```
ZrTa3
1.0
2.980 -5.161 0.000
2.980 5.161 0.000
0.000 0.000 5.157
Zr Ta
2 6
Direct
0.667 0.333 0.750 Zr
0.333 0.667 0.250 Zr
0.158 0.316 0.750 Ta
0.842 0.158 0.250 Ta
0.316 0.158 0.250 Ta
0.684 0.842 0.750 Ta
0.158 0.842 0.750 Ta
0.842 0.684 0.250 Ta
```

=====

The following is a PBE-GGA calculation of a relaxed NpP2Ru5 crystal, from Alexandria via LeMat-Bulk.

## Properties
energy of formation from the pure elements	-0.3715	eV per atom
energy	-9.139	eV/atom
SG	Immm (71)

```
NpP2Ru5
1.0
3.671 0.000 1.220
1.394 5.581 1.940
0.024 0.352 6.060
Ru P Np
5 2 1
Direct
0.356 0.444 0.844 Ru
0.356 0.844 0.444 Ru
0.644 0.556 0.156 Ru
0.000 0.500 0.500 Ru
0.644 0.156 0.556 Ru
0.247 0.253 0.253 P
0.753 0.747 0.747 P
0.000 0.000 0.000 Np
```

=====

The following is a PBE-GGA calculation of a relaxed LaAl2Cr crystal, from Alexandria via LeMat-Bulk.

## Properties
energy of formation from the pure elements	0.3795	eV per atom
energy	-5.129	eV/atom
SG	R3m (160)

```
LaAl2Cr
1.0
10.096 -0.083 -0.049
9.640 3.002 -0.049
9.640 1.425 2.642
La Al Cr
1 2 1
Direct
0.752 0.752 0.752 La
0.248 0.248 0.248 Al
0.990 0.990 0.990 Al
0.511 0.511 0.511 Cr
```

=====

The following is a PBE-GGA calculation of a relaxed Rb3PrU2Te6 crystal, from Alexandria via LeMat-Bulk.

## Properties
energy	-5.113	eV/atom
formation energy (no corrections)	-1.020	eV/atom
SG	C2/m (12)

```
Rb3PrU2Te6
1.0
7.943 -0.001 0.000
-3.971 6.879 0.000
-1.325 -2.294 8.607
U Rb Te Pr
2 3 6 1
Direct
0.667 0.333 0.000 U
0.333 0.667 0.000 U
0.164 0.836 0.500 Rb
0.836 0.164 0.500 Rb
0.500 0.500 0.500 Rb
0.409 0.068 0.204 Te
0.273 0.273 0.797 Te
0.068 0.409 0.204 Te
0.932 0.591 0.796 Te
0.591 0.932 0.796 Te
0.727 0.727 0.203 Te
0.000 0.000 0.000 Pr
```

=====

The following is a PBE-GGA calculation of a relaxed NaLaEuGe crystal, from Alexandria via LeMat-Bulk.

## Properties
energy of formation from the pure elements	-0.2835	eV per atom
energy	-5.568	eV/atom
SG	F-43m (216)

```
NaLaEuGe
1.0
-5.209 -1.559 0.101
-2.247 -1.675 4.660
-3.715 3.091 2.492
La Eu Na Ge
1 1 1 1
Direct
0.500 0.500 0.500 La
0.000 0.000 0.000 Eu
0.750 0.750 0.750 Na
0.250 0.250 0.250 Ge
```

=====

The following is a PBE-GGA calculation of a relaxed CsNaPb crystal, from Alexandria via LeMat-Bulk.

## Properties
ΔE to the lowest computed polymorph	0.04	eV per formula unit
energy of formation from the pure elements	-0.0824	eV per atom
energy	-2.043	eV/atom
SG	Pnma (62)

```
CsNaPb
1.0
4.879 0.000 0.000
0.000 7.696 0.000
0.000 0.000 16.616
Na Cs Pb
4 4 4
Direct
0.250 0.099 0.649 Na
0.750 0.901 0.351 Na
0.750 0.401 0.149 Na
0.250 0.599 0.851 Na
0.750 0.607 0.621 Cs
0.250 0.393 0.379 Cs
0.750 0.107 0.879 Cs
0.250 0.893 0.121 Cs
0.750 0.127 0.519 Pb
0.250 0.873 0.481 Pb
0.250 0.373 0.019 Pb
0.750 0.627 0.981 Pb
```

=====

The following is a PBE-GGA calculation of a relaxed Ce3InH2 crystal, from Alexandria via LeMat-Bulk.

## Properties
energy	-4.885	eV/atom
SG	Cmcm (63)

```
Ce3InH2
1.0
-2.013 4.193 2.848
0.112 -3.683 5.502
6.104 2.479 0.664
H Ce In
4 6 2
Direct
0.500 0.142 0.142 H
0.000 0.858 0.858 H
0.500 0.858 0.858 H
0.000 0.142 0.142 H
0.750 0.429 0.165 Ce
0.750 0.835 0.571 Ce
0.250 0.165 0.429 Ce
0.750 0.849 0.151 Ce
0.250 0.571 0.835 Ce
0.250 0.151 0.849 Ce
0.750 0.340 0.660 In
0.250 0.660 0.340 In
```

=====

The following is a PBE-GGA calculation of a relaxed AgSnSeN2 crystal, from Alexandria via LeMat-Bulk.

## Properties
ΔE to the lowest computed polymorph	1.48	eV per formula unit
energy	-3.882	eV/atom
formation energy (no corrections)	1.516	eV/atom
SG	P4/mmm (123)

```
AgSnSeN2
1.0
4.229 0.000 0.000
0.000 4.229 0.000
0.000 0.000 5.465
Ag N Se Sn
1 2 1 1
Direct
0.000 0.000 0.000 Ag
0.500 0.000 0.000 N
0.000 0.500 0.000 N
0.000 0.000 0.500 Se
0.500 0.500 0.500 Sn
```

=====

The following is a PBE-GGA calculation of a relaxed AlCr2Cd crystal, from Alexandria via LeMat-Bulk.

## Properties
energy of formation from the pure elements	0.3404	eV per atom
energy	-5.636	eV/atom
SG	Cmmm (65)

```
AlCr2Cd
1.0
4.551 0.048 0.000
-0.039 4.551 0.000
0.000 0.000 3.173
Cr Cd Al
2 1 1
Direct
0.500 0.500 0.000 Cr
0.000 0.000 0.000 Cr
0.000 0.500 0.500 Cd
0.500 0.000 0.500 Al
```